Here is an optimized crystal structure of MgZnS2 from Alexandria via LeMat-Bulk. Energies are from PBE.

abc: 3.8729 3.8729 6.3674
angles: 90.00 90.00 120.00
Atoms (fractional coordinates):
Mg 0.3333 0.6667 0.4238
Zn 0.0000 0.0000 0.9359
S 0.3333 0.6667 0.8176
S 0.6667 0.3333 0.2777

Results
- E (eV per atom) = -3.723
- SG = P3m1, No. 156
- V (Å³ per atom) = 20.68
- total moment (μB/atom) = 0.00